Here is a geometry-optimized K2Si3Pt5 structure from Alexandria. Energies are from PBE.

Summary:
**DOS at the Fermi energy**: 14.8 states/eV/cell
**Total magnetization**: 0.0 Bohr magnetons per cell
**Formation energy without anion corrections**: -5.17 eV per formula unit

Geometry as CIF:
```
data_K2Si3Pt5
_cell_length_a 14.358
_cell_length_b 9.671
_cell_length_c 6.054
_cell_angle_alpha 90.00
_cell_angle_beta 114.82
_cell_angle_gamma 90.00
_symmetry_space_group_name_H-M 'C 1 2/c 1'
_symmetry_Int_Tables_number 15
_symmetry_space_group_name_Hall '-C 2yc'
loop_
_atom_site_label
_atom_site_type_symbol
_atom_site_fract_x
_atom_site_fract_y
_atom_site_fract_z
K1 K 0.135 0.239 0.135
Si1 Si 0.000 0.000 0.250
Si2 Si 0.114 0.370 0.614
Pt1 Pt 0.000 0.500 0.250
Pt2 Pt 0.114 0.117 0.614
Pt3 Pt 0.222 0.500 0.471
```



Here is a geometry-optimized KSi3Pt structure from Alexandria. Energies are from PBE.

Summary:
**DOS at the Fermi energy**: 5.2 states/eV/cell
**Excess energy over the best structure of this formula in the dataset**: 0 meV per atom
**Total magnetization**: 0.0 Bohr magnetons per cell
**Formation energy without anion corrections**: 2.39 eV per formula unit

Geometry as CIF:
```
data_KSi3Pt
_cell_length_a 4.896
_cell_length_b 4.896
_cell_length_c 4.896
_cell_angle_alpha 90.00
_cell_angle_beta 90.00
_cell_angle_gamma 90.00
_symmetry_space_group_name_H-M 'P m -3 m'
_symmetry_Int_Tables_number 221
_symmetry_space_group_name_Hall '-P 4 2 3'
loop_
_atom_site_label
_atom_site_type_symbol
_atom_site_fract_x
_atom_site_fract_y
_atom_site_fract_z
K1 K 0.000 0.000 0.000
Si1 Si 0.000 0.500 0.500
Pt1 Pt 0.500 0.500 0.500
```



Here is a geometry-optimized KSiPt2 structure from Alexandria. Energies are from PBE.

Summary:
**DOS at the Fermi energy**: 2.4 states/eV/cell
**Total magnetization**: 0.0 Bohr magnetons per cell
**Formation energy without anion corrections**: -1.47 eV per formula unit

Geometry as CIF:
```
data_KSiPt2
_cell_length_a 12.376
_cell_length_b 2.820
_cell_length_c 5.891
_cell_angle_alpha 90.00
_cell_angle_beta 90.06
_cell_angle_gamma 90.00
_symmetry_space_group_name_H-M 'C 1 m 1'
_symmetry_Int_Tables_number 8
_symmetry_space_group_name_Hall 'C -2y'
loop_
_atom_site_label
_atom_site_type_symbol
_atom_site_fract_x
_atom_site_fract_y
_atom_site_fract_z
K1 K 0.000 0.000 0.000
Si1 Si 0.265 0.500 0.500
Pt1 Pt 0.113 0.000 0.500
Pt2 Pt 0.417 0.000 0.500
```



Here is a geometry-optimized KSi4Pt6 structure from Alexandria. Energies are from PBE.

Summary:
**DOS at the Fermi energy**: 6.9 states/eV/cell
**Total magnetization**: 0.0 Bohr magnetons per cell
**Formation energy without anion corrections**: -5.79 eV per formula unit

Geometry as CIF:
```
data_KSi4Pt6
_cell_length_a 8.212
_cell_length_b 9.391
_cell_length_c 5.792
_cell_angle_alpha 90.00
_cell_angle_beta 117.92
_cell_angle_gamma 90.00
_symmetry_space_group_name_H-M 'C 1 m 1'
_symmetry_Int_Tables_number 8
_symmetry_space_group_name_Hall 'C -2y'
loop_
_atom_site_label
_atom_site_type_symbol
_atom_site_fract_x
_atom_site_fract_y
_atom_site_fract_z
K1 K 0.000 0.000 0.000
Si1 Si 0.264 0.500 0.329
Si2 Si 0.295 0.197 0.805
Si3 Si 0.422 0.000 0.568
Pt1 Pt 0.119 0.000 0.577
Pt2 Pt 0.126 0.338 0.949
Pt3 Pt 0.376 0.258 0.451
Pt4 Pt 0.435 0.000 0.166
```



Here is a geometry-optimized KSiPt2 structure from Alexandria. Energies are from PBE.

Summary:
**DOS at the Fermi energy**: 7.0 states/eV/cell
**Total magnetization**: 0.0 Bohr magnetons per cell
**Formation energy without anion corrections**: -1.94 eV per formula unit

Geometry as CIF:
```
data_KSiPt2
_cell_length_a 4.057
_cell_length_b 13.039
_cell_length_c 6.954
_cell_angle_alpha 90.00
_cell_angle_beta 90.00
_cell_angle_gamma 90.00
_symmetry_space_group_name_H-M 'C m c m'
_symmetry_Int_Tables_number 63
_symmetry_space_group_name_Hall '-C 2c 2'
loop_
_atom_site_label
_atom_site_type_symbol
_atom_site_fract_x
_atom_site_fract_y
_atom_site_fract_z
K1 K 0.000 0.051 0.250
Si1 Si 0.000 0.210 0.750
Pt1 Pt 0.000 0.312 0.058
```



Here is a geometry-optimized K2SiPt structure from Alexandria. Energies are from PBE.

Summary:
**DOS at the Fermi energy**: 3.7 states/eV/cell
**Total magnetization**: 0.0 Bohr magnetons per cell
**Formation energy without anion corrections**: -0.96 eV per formula unit

Geometry as CIF:
```
data_K2SiPt
_cell_length_a 4.079
_cell_length_b 5.359
_cell_length_c 11.633
_cell_angle_alpha 90.00
_cell_angle_beta 90.00
_cell_angle_gamma 90.00
_symmetry_space_group_name_H-M 'A m m 2'
_symmetry_Int_Tables_number 38
_symmetry_space_group_name_Hall 'A 2 -2'
loop_
_atom_site_label
_atom_site_type_symbol
_atom_site_fract_x
_atom_site_fract_y
_atom_site_fract_z
K1 K 0.000 0.000 0.000
K2 K 0.500 0.000 0.299
Si1 Si 0.500 0.000 0.605
Pt1 Pt 0.000 0.000 0.696
```



Here is a geometry-optimized K2SiPt structure from Alexandria. Energies are from PBE.

Summary:
**DOS at the Fermi energy**: 1.4 states/eV/cell
**Total magnetization**: 0.0 Bohr magnetons per cell
**Formation energy without anion corrections**: -0.53 eV per formula unit

Geometry as CIF:
```
data_K2SiPt
_cell_length_a 3.398
_cell_length_b 3.398
_cell_length_c 10.060
_cell_angle_alpha 90.00
_cell_angle_beta 90.00
_cell_angle_gamma 90.00
_symmetry_space_group_name_H-M 'P 4 m m'
_symmetry_Int_Tables_number 99
_symmetry_space_group_name_Hall 'P 4 -2'
loop_
_atom_site_label
_atom_site_type_symbol
_atom_site_fract_x
_atom_site_fract_y
_atom_site_fract_z
K1 K 0.000 0.000 0.000
K2 K 0.500 0.500 0.424
Si1 Si 0.500 0.500 0.755
Pt1 Pt 0.000 0.000 0.672
```



Here is a geometry-optimized K2Si2Pt structure from Alexandria. Energies are from PBE.

Summary:
**DOS at the Fermi energy**: 0.0 states/eV/cell
**Total magnetization**: 0.0 Bohr magnetons per cell
**Formation energy without anion corrections**: -1.09 eV per formula unit

Geometry as CIF:
```
data_K2Si2Pt
_cell_length_a 6.385
_cell_length_b 6.385
_cell_length_c 5.584
_cell_angle_alpha 90.00
_cell_angle_beta 90.00
_cell_angle_gamma 90.00
_symmetry_space_group_name_H-M 'P 4/m b m'
_symmetry_Int_Tables_number 127
_symmetry_space_group_name_Hall '-P 4 2ab'
loop_
_atom_site_label
_atom_site_type_symbol
_atom_site_fract_x
_atom_site_fract_y
_atom_site_fract_z
K1 K 0.188 0.312 0.000
Si1 Si 0.131 0.631 0.500
Pt1 Pt 0.000 0.000 0.500
```